The following is a DFT calculation (PBE) of a geometry-optimized Th4Te4Pb structure.

Cell and atoms, written as POSCAR:
```
Th4Te4Pb
1.0
-4.9461 4.9461 3.1274
4.9461 -4.9461 3.1274
4.9461 4.9461 -3.1274
Th Te Pb
4 4 1
direct
0.0877 0.3116 0.3993
0.3116 0.9123 0.2239
0.6884 0.0877 0.7761
0.9123 0.6884 0.6007
0.2287 0.5997 0.8284
0.4003 0.2287 0.6290
0.5997 0.7713 0.3710
0.7713 0.4003 0.1716
0.0000 0.0000 0.0000
```

- formation energy without anion corrections (meV per atom) = -882
- size of the total moment (μB/atom) = 0.0000
- final energy (hartree per atom) = -0.2201